Material: Nb2Ru3Pt3
Method: DFT, GGA-PBE
State: relaxed

Lattice parameters (Å, degrees): 3.936 4.014 7.747 90.00 90.00 90.00
Atoms (fractional coordinates):
Nb (0.000, 0.000, 0.243)
Nb (0.000, 0.000, 0.757)
Ru (0.000, 0.500, 0.000)
Ru (0.500, 0.000, 0.000)
Ru (0.500, 0.000, 0.500)
Pt (0.000, 0.500, 0.500)
Pt (0.500, 0.500, 0.249)
Pt (0.500, 0.500, 0.751)

Values from the calculation:
* VASP energy: -0.6429 Ry per atom
* N(E_F): 4.7 states/eV/f.u.
* magnetic moment: 0.00 Bohr magnetons per cell